Entry 1:
Here is a relaxed structure of Ce3Tl3BiSe8 from the Alexandria database. Energies are from PBE.

Cell: 8.612 8.610 9.182 Å, 117.97 90.00 120.00°
Site moments in Bohr magnetons follow the coordinates.
Positions (direct):
Ce1 0.500 0.000 0.500  0.70
Ce2 0.500 0.500 0.500  0.70
Ce3 0.000 0.500 0.500  0.70
Se1 0.264 0.527 0.292  -0.02
Se2 0.237 0.969 0.706  -0.02
Se3 0.763 0.031 0.294  -0.02
Se4 0.736 0.473 0.708  -0.02
Se5 0.732 0.969 0.706  -0.02
Se6 0.237 0.474 0.706  -0.02
Se7 0.268 0.031 0.294  -0.02
Se8 0.763 0.526 0.294  -0.02
Tl1 0.500 0.500 0.000  0.00
Tl2 0.000 0.500 0.000  0.00
Tl3 0.000 0.000 0.000  0.00
Bi1 0.000 0.000 0.500  0.00

Values from the calculation:
- DFT total energy (eV/atom) = -4.94
- formation energy (no corrections) (meV per atom) = -1168
- spin magnetization (μB per formula unit) = 2.0

***

Entry 2:
Here is a relaxed structure of CeTl4Bi3Se8 from the Alexandria database. Energies are from PBE.

Cell: 8.643 9.151 8.643 Å, 118.19 120.00 90.00°
Site moments in Bohr magnetons follow the coordinates.
Positions (direct):
Se1 0.738 0.715 0.477  0.00
Se2 0.763 0.287 0.527  -0.01
Se3 0.740 0.713 0.977  -0.01
Se4 0.260 0.287 0.023  -0.01
Se5 0.237 0.713 0.473  -0.01
Se6 0.262 0.285 0.523  0.00
Se7 0.237 0.713 0.977  -0.01
Se8 0.763 0.287 0.023  -0.01
Tl1 0.000 0.000 0.000  0.00
Tl2 0.500 0.000 0.000  0.00
Tl3 0.500 0.000 0.500  0.00
Tl4 0.000 0.000 0.500  0.00
Bi1 0.500 0.500 0.500  0.01
Bi2 0.000 0.500 0.500  0.01
Bi3 0.500 0.500 0.000  0.01
Ce1 0.000 0.500 0.000  0.81

Values from the calculation:
- DFT total energy (eV/atom) = -4.10
- formation energy (no corrections) (meV per atom) = -668
- spin magnetization (μB per formula unit) = 0.8

***

Entry 3:
Here is a relaxed structure of Ce2SiBi from the Alexandria database. Energies are from PBE.

Cell: 3.530 3.530 8.442 Å, 90.00 90.00 90.00°
Site moments in Bohr magnetons follow the coordinates.
Positions (direct):
Ce1 0.000 0.000 0.212  0.81
Ce2 0.000 0.000 0.788  0.81
Si1 0.500 0.500 0.000  0.00
Bi1 0.500 0.500 0.500  -0.03

Values from the calculation:
- DFT total energy (eV/atom) = -5.83
- formation energy (no corrections) (meV per atom) = -533
- spin magnetization (μB per formula unit) = 2.1

***

Entry 4:
Here is a relaxed structure of Ce6SiBi3 from the Alexandria database. Energies are from PBE.

Cell: 5.862 8.537 11.927 Å, 90.00 97.66 90.00°
Site moments in Bohr magnetons follow the coordinates.
Positions (direct):
Ce1 0.040 0.391 0.409  0.73
Ce2 0.561 0.178 0.571  0.79
Ce3 0.061 0.322 0.071  0.79
Ce4 0.439 0.822 0.429  0.79
Ce5 0.140 0.003 0.775  0.65
Ce6 0.960 0.609 0.591  0.73
Ce7 0.540 0.109 0.909  0.73
Ce8 0.460 0.891 0.091  0.73
Ce9 0.360 0.503 0.725  0.65
Ce10 0.640 0.497 0.275  0.65
Ce11 0.939 0.678 0.929  0.79
Ce12 0.860 0.997 0.225  0.65
Si1 0.500 0.500 0.500  -0.03
Si2 0.000 0.000 0.000  -0.03
Bi1 0.386 0.158 0.283  -0.03
Bi2 0.000 0.000 0.500  -0.04
Bi3 0.614 0.842 0.717  -0.03
Bi4 0.114 0.658 0.217  -0.03
Bi5 0.886 0.342 0.783  -0.03
Bi6 0.500 0.500 0.000  -0.04

Values from the calculation:
- DFT total energy (eV/atom) = -5.75
- formation energy (no corrections) (meV per atom) = -485
- spin magnetization (μB per formula unit) = 5.0

***

Entry 5:
Here is a relaxed structure of Ce2SiBi from the Alexandria database. Energies are from PBE.

Cell: 4.348 4.348 7.695 Å, 73.59 73.59 60.00°
Site moments in Bohr magnetons follow the coordinates.
Positions (direct):
Ce1 0.741 0.741 0.777  0.45
Ce2 0.259 0.259 0.223  0.45
Si1 0.000 0.000 0.000  -0.03
Bi1 0.500 0.500 0.500  -0.04

Values from the calculation:
- DFT total energy (eV/atom) = -5.92
- formation energy (no corrections) (meV per atom) = -630
- spin magnetization (μB per formula unit) = 0.9

***

Entry 6:
Here is a relaxed structure of Ce3SiBi from the Alexandria database. Energies are from PBE.

Cell: 5.980 7.311 8.420 Å, 114.17 90.02 114.10°
Site moments in Bohr magnetons follow the coordinates.
Positions (direct):
Si1 0.127 0.253 0.915  -0.02
Si2 0.873 0.747 0.085  -0.02
Ce1 0.633 0.265 0.942  0.74
Ce2 0.118 0.236 0.572  0.84
Ce3 0.367 0.735 0.058  0.74
Ce4 0.119 0.238 0.244  0.62
Ce5 0.882 0.764 0.428  0.84
Ce6 0.881 0.762 0.756  0.62
Bi1 0.624 0.247 0.396  -0.03
Bi2 0.376 0.753 0.604  -0.03

Values from the calculation:
- DFT total energy (eV/atom) = -5.84
- formation energy (no corrections) (meV per atom) = -418
- spin magnetization (μB per formula unit) = 2.6

***

> Which value of spin magnetization does entry 3 give?

2.1 μB per formula unit

***

> spin magnetization of number 6 (Ce3SiBi)?

2.6 μB per formula unit

***

> Which of these has the highest formation energy (no corrections)?

Ce3SiBi